No. 1
Density functional theory data (GGA-PBE) for a geometry-optimized Cu3Ag7 structure.

```
Cu3Ag7
1.0
-2.183 -2.523 5.206
-0.871 -4.732 3.884
8.436 3.152 3.108
Ag Cu
7 3
direct
0.097 0.097 0.307
0.693 0.693 0.094
0.811 0.811 0.401
0.401 0.401 0.185
0.900 0.900 0.705
0.603 0.603 0.809
0.194 0.194 0.600
0.992 0.992 0.992
0.501 0.501 0.505
0.307 0.307 0.902
```

Calculated values
Electronic total energy (eV/atom): -3.02
E above lowest polymorph (meV/atom): 46
Formation energy (eV per formula unit): 0.7


No. 2
Density functional theory data (GGA-PBE) for a geometry-optimized CuAg5 structure.

```
CuAg5
1.0
-0.773 5.749 -2.809
-3.149 -4.690 3.103
0.764 1.842 3.558
Ag Cu
5 1
direct
0.837 0.163 0.500
0.500 0.500 0.500
0.163 0.837 0.500
0.663 0.337 0.000
0.337 0.663 0.000
0.000 0.000 0.000
```

Calculated values
Electronic total energy (eV/atom): -2.92
E above lowest polymorph (meV/atom): 16
Formation energy (eV per formula unit): 0.3


No. 3
Density functional theory data (GGA-PBE) for a geometry-optimized Cu5Ag3 structure.

```
Cu5Ag3
1.0
5.522 0.000 0.000
0.000 2.752 0.000
-2.719 0.000 7.461
Ag Cu
3 5
direct
0.105 0.500 0.231
0.895 0.500 0.769
0.500 0.000 0.500
0.719 0.000 0.995
0.373 0.500 0.757
0.627 0.500 0.243
0.281 0.000 0.005
0.000 0.000 0.500
```

Calculated values
Electronic total energy (eV/atom): -3.29
E above lowest polymorph (meV/atom): 45
Formation energy (eV per formula unit): 0.7


No. 4
Density functional theory data (GGA-PBE) for a geometry-optimized Cu4Ag5 structure.

```
Cu4Ag5
1.0
-2.077 4.382 0.301
-4.433 1.594 -1.189
-0.489 -3.600 7.512
Ag Cu
5 4
direct
0.998 0.998 0.334
0.676 0.676 0.566
0.008 0.008 0.681
0.323 0.323 0.092
0.662 0.662 0.214
0.665 0.665 0.888
0.344 0.344 0.783
0.988 0.988 0.988
0.336 0.336 0.453
```

Calculated values
Electronic total energy (eV/atom): -3.13
E above lowest polymorph (meV/atom): 54
Formation energy (eV per formula unit): 0.8


No. 5
Density functional theory data (GGA-PBE) for a geometry-optimized Cu3Ag7 structure.

```
Cu3Ag7
1.0
6.245 0.000 0.000
0.000 4.050 0.000
-0.160 0.000 6.432
Ag Cu
7 3
direct
0.884 0.500 0.798
0.220 0.000 0.911
0.000 0.000 0.500
0.780 0.000 0.089
0.688 0.500 0.390
0.116 0.500 0.202
0.312 0.500 0.610
0.404 0.000 0.307
0.500 0.500 0.000
0.596 0.000 0.693
```

Calculated values
Electronic total energy (eV/atom): -3.02
E above lowest polymorph (meV/atom): 39
Formation energy (eV per formula unit): 0.7


No. 6
Density functional theory data (GGA-PBE) for a geometry-optimized Cu3Ag2 structure.

```
Cu3Ag2
1.0
-3.468 -2.573 -1.869
2.249 -3.307 2.531
-3.472 4.234 4.635
Ag Cu
4 6
direct
0.276 0.585 0.084
0.912 0.808 0.305
0.596 0.200 0.192
0.518 0.008 0.519
0.972 0.987 0.973
0.110 0.202 0.705
0.393 0.789 0.794
0.212 0.410 0.422
0.689 0.408 0.890
0.822 0.603 0.615
```

Calculated values
Electronic total energy (eV/atom): -3.26
E above lowest polymorph (meV/atom): 55
Formation energy (eV per formula unit): 0.5


No. 7
Density functional theory data (GGA-PBE) for a geometry-optimized Cu5Ag3 structure.

```
Cu5Ag3
1.0
-5.255 6.799 2.340
-5.139 5.510 4.748
4.061 2.263 1.015
Cu Ag
5 3
direct
0.010 0.010 0.000
0.241 0.241 0.747
0.623 0.623 0.863
0.507 0.507 0.506
0.119 0.119 0.383
0.877 0.877 0.629
0.742 0.742 0.247
0.382 0.382 0.126
```

Calculated values
Electronic total energy (eV/atom): -3.28
E above lowest polymorph (meV/atom): 55
Formation energy (eV per formula unit): 0.8


No. 8
Density functional theory data (GGA-PBE) for a geometry-optimized Cu7Ag2 structure.

```
Cu7Ag2
1.0
-2.790 -13.360 8.821
-5.751 -11.315 10.148
3.163 11.643 -10.887
Cu Ag
7 2
direct
0.103 0.103 0.000
0.551 0.551 0.000
0.897 0.897 0.000
0.654 0.654 0.000
0.346 0.346 0.000
0.449 0.449 0.000
0.000 0.000 0.000
0.215 0.215 0.000
0.785 0.785 0.000
```

Calculated values
Electronic total energy (eV/atom): -3.47
E above lowest polymorph (meV/atom): 0
Formation energy (eV per formula unit): 0.4


No. 9
Density functional theory data (GGA-PBE) for a geometry-optimized CuAg structure.

```
CuAg
1.0
-3.199 1.585 3.087
-1.070 -5.260 1.593
4.240 -0.204 2.175
Ag Cu
4 4
direct
0.000 0.762 0.500
0.500 0.490 0.500
0.500 0.243 0.000
0.500 0.754 0.000
0.500 0.007 0.500
0.000 0.490 0.000
0.000 0.012 0.000
0.000 0.243 0.500
```

Calculated values
Electronic total energy (eV/atom): -3.16
Formation energy (eV per formula unit): 0.2


No. 10
Density functional theory data (GGA-PBE) for a geometry-optimized CuAg8 structure.

```
CuAg8
1.0
-4.445 -1.661 1.679
3.164 -3.166 -2.302
2.967 -1.596 6.273
Ag Cu
8 1
direct
0.667 0.333 0.000
0.329 0.000 0.671
0.671 0.671 0.671
0.329 0.329 0.329
0.000 0.329 0.671
0.333 0.667 0.000
0.000 0.671 0.329
0.671 0.000 0.329
0.000 0.000 0.000
```

Calculated values
Electronic total energy (eV/atom): -2.89
E above lowest polymorph (meV/atom): 15
Formation energy (eV per formula unit): 0.3


No. 11
Density functional theory data (GGA-PBE) for a geometry-optimized CuAg8 structure.

```
CuAg8
1.0
7.531 -1.462 0.000
7.531 1.462 0.000
-4.980 0.000 7.103
Ag Cu
8 1
direct
0.111 0.111 0.666
0.220 0.220 0.331
0.889 0.889 0.334
0.780 0.780 0.669
0.554 0.554 0.323
0.337 0.337 0.000
0.446 0.446 0.677
0.663 0.663 0.000
0.000 0.000 0.000
```

Calculated values
Electronic total energy (eV/atom): -2.89
E above lowest polymorph (meV/atom): 13
Formation energy (eV per formula unit): 0.3


No. 12
Density functional theory data (GGA-PBE) for a geometry-optimized Cu3Ag2 structure.

```
Cu3Ag2
1.0
7.116 -1.852 0.000
7.116 1.852 0.000
-1.137 0.000 5.434
Cu Ag
6 4
direct
0.407 0.407 0.709
0.003 0.003 0.512
0.589 0.589 0.794
0.593 0.593 0.298
0.806 0.806 0.897
0.000 0.000 0.984
0.195 0.195 0.606
0.193 0.193 0.094
0.806 0.806 0.413
0.407 0.407 0.193
```

Calculated values
Electronic total energy (eV/atom): -3.27
E above lowest polymorph (meV/atom): 50
Formation energy (eV per formula unit): 0.5